Record 1
BaTa2Hg | PBE | optimized geometry Values from VASP.

The structure in Quantum ESPRESSO input format:
```
&SYSTEM
  ibrav = 0, nat = 4, ntyp = 3
/
ATOMIC_SPECIES
Ba 137.33 Ba.upf
Hg 200.59 Hg.upf
Ta 180.95 Ta.upf
ATOMIC_POSITIONS crystal
Ba 0.750 0.750 0.750
Hg 0.250 0.250 0.250
Ta 0.969 0.969 0.083
Ta 0.531 0.531 0.417
CELL_PARAMETERS angstrom
5.996 0.002 -0.005
5.196 2.991 -0.005
1.204 0.322 5.748
```

Calculated values
Symmetry: C2/m (12)
Density of states at the Fermi level: 2.86 states/eV/f.u.
Total magnetization: 0.00 μB per cell
Formation enthalpy at 0 K: 0.726 eV per atom
Calculated volume: 103 Å³/cell

---

Record 2
BaTa2Hg | PBE | optimized geometry Values from VASP.

The structure in Quantum ESPRESSO input format:
```
&SYSTEM
  ibrav = 0, nat = 4, ntyp = 3
/
ATOMIC_SPECIES
Ba 137.33 Ba.upf
Hg 200.59 Hg.upf
Ta 180.95 Ta.upf
ATOMIC_POSITIONS crystal
Ba 0.000 0.504 0.496
Hg 0.500 0.696 0.805
Ta 0.000 0.971 0.028
Ta 0.500 0.329 0.171
CELL_PARAMETERS angstrom
-2.529 2.410 -0.425
-0.714 -0.138 3.458
4.803 5.895 4.839
```

Calculated values
Symmetry: Pmm2 (25)
Density of states at the Fermi level: 3.49 states/eV/f.u.
Total magnetization: 0.00 μB per cell
Formation enthalpy at 0 K: 0.411 eV per atom
Calculated volume: 103 Å³/cell

---

Record 3
BaTa2Hg | PBE | optimized geometry Values from VASP.

The structure in Quantum ESPRESSO input format:
```
&SYSTEM
  ibrav = 0, nat = 4, ntyp = 3
/
ATOMIC_SPECIES
Ba 137.33 Ba.upf
Hg 200.59 Hg.upf
Ta 180.95 Ta.upf
ATOMIC_POSITIONS crystal
Ba 0.500 0.000 0.500
Hg 0.000 0.500 0.500
Ta 0.000 0.000 0.000
Ta 0.500 0.500 0.000
CELL_PARAMETERS angstrom
-0.584 -4.690 3.889
5.330 0.873 -2.881
0.913 1.719 2.211
```

Calculated values
Symmetry: Cmmm (65)
Density of states at the Fermi level: 4.15 states/eV/f.u.
Total magnetization: 0.00 μB per cell
Formation enthalpy at 0 K: 1.141 eV per atom
Calculated volume: 96 Å³/cell

---

Record 4
BaTa2Hg | PBE | optimized geometry Values from VASP.

The structure in Quantum ESPRESSO input format:
```
&SYSTEM
  ibrav = 0, nat = 8, ntyp = 3
/
ATOMIC_SPECIES
Ba 137.33 Ba.upf
Hg 200.59 Hg.upf
Ta 180.95 Ta.upf
ATOMIC_POSITIONS crystal
Ba 0.500 0.500 0.000
Ba 0.250 0.750 0.500
Hg 0.000 0.000 0.000
Hg 0.750 0.250 0.500
Ta 0.875 0.125 0.250
Ta 0.875 0.625 0.250
Ta 0.375 0.125 0.750
Ta 0.875 0.125 0.750
CELL_PARAMETERS angstrom
4.994 0.000 0.000
0.000 4.994 0.000
2.497 2.497 10.393
```

Calculated values
Symmetry: I4_1/amd (141)
Density of states at the Fermi level: 4.87 states/eV/f.u.
Total magnetization: 0.00 μB per cell
Formation enthalpy at 0 K: 1.039 eV per atom
Calculated volume: 259 Å³/cell

---

Record 5
BaTaHg3 | PBE | optimized geometry Values from VASP.

The structure in Quantum ESPRESSO input format:
```
&SYSTEM
  ibrav = 0, nat = 5, ntyp = 3
/
ATOMIC_SPECIES
Ba 137.33 Ba.upf
Hg 200.59 Hg.upf
Ta 180.95 Ta.upf
ATOMIC_POSITIONS crystal
Ba 0.000 0.000 0.000
Hg 0.000 0.500 0.000
Hg 0.000 0.000 0.500
Hg 0.500 0.000 0.000
Ta 0.500 0.500 0.500
CELL_PARAMETERS angstrom
-1.215 4.963 -3.534
-4.689 1.539 3.774
3.890 3.405 3.445
```

Calculated values
Symmetry: Pm-3m (221)
Density of states at the Fermi level: 6.24 states/eV/f.u.
Total magnetization: 4.01 μB per cell
Formation enthalpy at 0 K: 1.510 eV per atom
Calculated volume: 240 Å³/cell

---

Record 6
BaTa2Hg | PBE | optimized geometry Values from VASP.

The structure in Quantum ESPRESSO input format:
```
&SYSTEM
  ibrav = 0, nat = 4, ntyp = 3
/
ATOMIC_SPECIES
Ba 137.33 Ba.upf
Hg 200.59 Hg.upf
Ta 180.95 Ta.upf
ATOMIC_POSITIONS crystal
Ba 0.505 0.505 0.000
Hg 0.217 0.717 0.500
Ta 0.983 0.983 0.000
Ta 0.794 0.294 0.500
CELL_PARAMETERS angstrom
-2.238 -0.396 -6.040
-6.385 -0.518 -0.783
5.229 3.285 1.872
```

Calculated values
Symmetry: Imm2 (44)
Density of states at the Fermi level: 4.74 states/eV/f.u.
Total magnetization: 0.00 μB per cell
Formation enthalpy at 0 K: 0.855 eV per atom
Calculated volume: 104 Å³/cell

---

Record 7
BaTaHg | PBE | optimized geometry Values from VASP.

The structure in Quantum ESPRESSO input format:
```
&SYSTEM
  ibrav = 0, nat = 3, ntyp = 3
/
ATOMIC_SPECIES
Ba 137.33 Ba.upf
Hg 200.59 Hg.upf
Ta 180.95 Ta.upf
ATOMIC_POSITIONS crystal
Ba 0.500 0.500 0.500
Hg 0.750 0.750 0.750
Ta 0.000 0.000 0.000
CELL_PARAMETERS angstrom
5.252 0.000 0.000
2.626 4.548 0.000
2.626 1.516 4.288
```

Calculated values
Symmetry: F-43m (216)
Density of states at the Fermi level: 5.47 states/eV/f.u.
Total magnetization: 3.08 μB per cell
Formation enthalpy at 0 K: 1.167 eV per atom
Calculated volume: 102 Å³/cell

---

Record 8
Ba2TaHg | PBE | optimized geometry Values from VASP.

The structure in Quantum ESPRESSO input format:
```
&SYSTEM
  ibrav = 0, nat = 4, ntyp = 3
/
ATOMIC_SPECIES
Ba 137.33 Ba.upf
Hg 200.59 Hg.upf
Ta 180.95 Ta.upf
ATOMIC_POSITIONS crystal
Ba 0.000 0.973 0.931
Ba 0.500 0.279 0.316
Hg 0.000 0.670 0.533
Ta 0.500 0.579 0.720
CELL_PARAMETERS angstrom
5.123 0.000 0.000
0.000 3.709 0.005
0.000 1.842 7.228
```

Calculated values
Symmetry: Pm (6)
Density of states at the Fermi level: 4.45 states/eV/f.u.
Total magnetization: 0.27 μB per cell
Formation enthalpy at 0 K: 0.592 eV per atom
Calculated volume: 137 Å³/cell

---

Record 9
BaTaHg | PBE | optimized geometry Values from VASP.

The structure in Quantum ESPRESSO input format:
```
&SYSTEM
  ibrav = 0, nat = 3, ntyp = 3
/
ATOMIC_SPECIES
Ba 137.33 Ba.upf
Hg 200.59 Hg.upf
Ta 180.95 Ta.upf
ATOMIC_POSITIONS crystal
Ba 0.000 0.000 0.000
Hg 0.667 0.333 0.500
Ta 0.333 0.667 0.500
CELL_PARAMETERS angstrom
5.322 0.000 0.000
-2.661 4.609 0.000
0.000 0.000 3.283
```

Calculated values
Symmetry: P-6m2 (187)
Density of states at the Fermi level: 2.87 states/eV/f.u.
Total magnetization: 0.00 μB per cell
Formation enthalpy at 0 K: 0.821 eV per atom
Calculated volume: 81 Å³/cell

---

Record 10
BaTaHg | PBE | optimized geometry Values from VASP.

The structure in Quantum ESPRESSO input format:
```
&SYSTEM
  ibrav = 0, nat = 3, ntyp = 3
/
ATOMIC_SPECIES
Ba 137.33 Ba.upf
Hg 200.59 Hg.upf
Ta 180.95 Ta.upf
ATOMIC_POSITIONS crystal
Ba 0.999 0.999 0.001
Hg 0.312 0.312 0.688
Ta 0.689 0.689 0.311
CELL_PARAMETERS angstrom
7.785 0.016 -0.016
7.091 3.214 -0.015
0.695 0.149 3.195
```

Calculated values
Symmetry: I4mm (107)
Density of states at the Fermi level: 1.82 states/eV/f.u.
Total magnetization: 0.00 μB per cell
Formation enthalpy at 0 K: 0.615 eV per atom
Calculated volume: 80 Å³/cell

---

Record 11
BaTa2Hg | PBE | optimized geometry Values from VASP.

The structure in Quantum ESPRESSO input format:
```
&SYSTEM
  ibrav = 0, nat = 4, ntyp = 3
/
ATOMIC_SPECIES
Ba 137.33 Ba.upf
Hg 200.59 Hg.upf
Ta 180.95 Ta.upf
ATOMIC_POSITIONS crystal
Ba 0.500 0.250 0.250
Hg 0.500 0.750 0.750
Ta 0.000 0.947 0.915
Ta 0.000 0.553 0.585
CELL_PARAMETERS angstrom
-2.244 -1.335 -4.554
0.289 -2.979 0.731
-5.813 -0.756 3.086
```

Calculated values
Symmetry: P2/m (10)
Density of states at the Fermi level: 4.43 states/eV/f.u.
Total magnetization: 0.00 μB per cell
Formation enthalpy at 0 K: 0.820 eV per atom
Calculated volume: 106 Å³/cell

---

Record 12
Ba3TaHg | PBE | optimized geometry Values from VASP.

The structure in Quantum ESPRESSO input format:
```
&SYSTEM
  ibrav = 0, nat = 5, ntyp = 3
/
ATOMIC_SPECIES
Ba 137.33 Ba.upf
Hg 200.59 Hg.upf
Ta 180.95 Ta.upf
ATOMIC_POSITIONS crystal
Ba 0.000 0.500 0.000
Ba 0.000 0.000 0.500
Ba 0.500 0.000 0.000
Hg 0.500 0.500 0.500
Ta 0.000 0.000 0.000
CELL_PARAMETERS angstrom
-5.290 -1.541 -2.743
2.861 -0.125 -5.448
1.308 -5.957 0.824
```

Calculated values
Symmetry: Pm-3m (221)
Density of states at the Fermi level: 3.83 states/eV/f.u.
Total magnetization: 0.00 μB per cell
Formation enthalpy at 0 K: 0.732 eV per atom
Calculated volume: 233 Å³/cell